Entry from Alexandria via LeMat-Bulk: a relaxed Ac3Nd5 crystal (GGA-PBE).

Output
Energy of formation from the pure elements   0.13 eV per atom
Energy   -4.389 eV per atom
E above lowest polymorph   2.333 kcal/mol of atoms
ρ   7.48 g/cm3
Space-group type   Cmmm (65)

abc: 3.879 6.369 25.199
angles: 90.00 90.00 90.00
Positions (direct):
Ac 0.000 0.000 0.000
Ac 0.000 0.500 0.136
Ac 0.000 0.500 0.864
Ac 0.500 0.000 0.136
Ac 0.500 0.000 0.864
Ac 0.500 0.500 0.000
Nd 0.000 0.000 0.263
Nd 0.000 0.000 0.500
Nd 0.000 0.000 0.737
Nd 0.000 0.500 0.381
Nd 0.000 0.500 0.619
Nd 0.500 0.000 0.381
Nd 0.500 0.000 0.619
Nd 0.500 0.500 0.263
Nd 0.500 0.500 0.500
Nd 0.500 0.500 0.737

---

Entry from Alexandria via LeMat-Bulk: a relaxed Ac4Nd crystal (GGA-PBE).

Output
Energy of formation from the pure elements   0.31 eV per atom
Energy   -3.927 eV per atom
E above lowest polymorph   6.493 kcal/mol of atoms
ρ   7.57 g/cm3
Space-group type   I4_1/amd (141)

abc: 8.513 8.513 8.513
angles: 104.24 104.24 120.53
Positions (direct):
Ac 0.227 0.286 0.559
Ac 0.227 0.668 0.941
Ac 0.286 0.227 0.059
Ac 0.332 0.773 0.559
Ac 0.668 0.227 0.441
Ac 0.714 0.773 0.941
Ac 0.773 0.332 0.059
Ac 0.773 0.714 0.441
Nd 0.125 0.875 0.250
Nd 0.875 0.125 0.750

---

Entry from Alexandria via LeMat-Bulk: a relaxed Ac8Nd crystal (GGA-PBE).

Output
Energy of formation from the pure elements   0.02 eV per atom
Energy   -4.160 eV per atom
ρ   8.21 g/cm3
Space-group type   I4/mmm (139)

abc: 8.858 8.858 8.858
angles: 95.78 95.78 143.01
Positions (direct):
Ac 0.000 0.331 0.331
Ac 0.000 0.669 0.669
Ac 0.331 0.000 0.331
Ac 0.336 0.336 0.671
Ac 0.336 0.664 0.000
Ac 0.664 0.336 0.000
Ac 0.664 0.664 0.329
Ac 0.669 0.000 0.669
Nd 0.000 0.000 0.000

---

Entry from Alexandria via LeMat-Bulk: a relaxed Ac2Nd7 crystal (GGA-PBE).

Output
Energy of formation from the pure elements   0.03 eV per atom
Energy   -4.593 eV per atom
ρ   7.24 g/cm3
Space-group type   P-31m (162)

abc: 6.518 6.518 9.127
angles: 90.00 90.00 120.00
Positions (direct):
Ac 0.333 0.667 0.000
Ac 0.667 0.333 0.000
Nd 0.000 0.000 0.000
Nd 0.000 0.331 0.662
Nd 0.000 0.669 0.338
Nd 0.331 0.000 0.662
Nd 0.331 0.331 0.338
Nd 0.669 0.000 0.338
Nd 0.669 0.669 0.662

---

Entry from Alexandria via LeMat-Bulk: a relaxed AcNd crystal (GGA-PBE).

Output
Energy of formation from the pure elements   0.03 eV per atom
Energy   -4.404 eV per atom
E above lowest polymorph   0.106 kcal/mol of atoms
ρ   7.70 g/cm3
Space-group type   Pmmn (59)

abc: 3.857 5.436 7.635
angles: 90.00 90.00 90.00
Positions (direct):
Ac 0.250 0.250 0.133
Ac 0.750 0.750 0.867
Nd 0.250 0.250 0.618
Nd 0.750 0.750 0.382

---

Entry from Alexandria via LeMat-Bulk: a relaxed Ac7Nd2 crystal (GGA-PBE).

Output
Energy of formation from the pure elements   0.03 eV per atom
Energy   -4.226 eV per atom
ρ   8.09 g/cm3
Space-group type   P-31m (162)

abc: 6.814 6.814 9.579
angles: 90.00 90.00 120.00
Positions (direct):
Ac 0.000 0.000 0.000
Ac 0.000 0.337 0.671
Ac 0.000 0.663 0.329
Ac 0.337 0.000 0.671
Ac 0.337 0.337 0.329
Ac 0.663 0.000 0.329
Ac 0.663 0.663 0.671
Nd 0.333 0.667 0.000
Nd 0.667 0.333 0.000

---

Entry from Alexandria via LeMat-Bulk: a relaxed Ac3Nd8 crystal (GGA-PBE).

Output
Energy of formation from the pure elements   0.03 eV per atom
Energy   -4.555 eV per atom
E above lowest polymorph   0.000 kcal/mol of atoms
ρ   7.31 g/cm3
Space-group type   P-1 (2)

abc: 5.306 6.535 13.618
angles: 103.79 90.04 113.90
Positions (direct):
Ac 0.000 0.000 0.000
Ac 0.091 0.182 0.639
Ac 0.909 0.818 0.361
Nd 0.181 0.362 0.272
Nd 0.273 0.546 0.909
Nd 0.362 0.723 0.545
Nd 0.455 0.910 0.180
Nd 0.545 0.090 0.820
Nd 0.638 0.277 0.455
Nd 0.727 0.454 0.091
Nd 0.819 0.638 0.728

---

Entry from Alexandria via LeMat-Bulk: a relaxed Ac2NdNi3 crystal (GGA-PBE).

Output
Energy of formation from the pure elements   -0.22 eV per atom
Energy   -5.278 eV per atom
ρ   8.60 g/cm3
Space-group type   Cmcm (63)

abc: 8.162 8.162 5.159
angles: 90.00 90.00 60.46
Positions (direct):
Ac 0.012 0.667 0.750
Ac 0.333 0.988 0.750
Ac 0.667 0.012 0.250
Ac 0.988 0.333 0.250
Nd 0.346 0.654 0.250
Nd 0.654 0.346 0.750
Ni 0.000 0.000 0.000
Ni 0.000 0.000 0.500
Ni 0.336 0.336 0.000
Ni 0.336 0.336 0.500
Ni 0.664 0.664 0.000
Ni 0.664 0.664 0.500

---

The lowest ρ belongs to which entry?
Ac2Nd7

---

What is the energy in the third record?
-4.160 eV per atom